# SmHfAl

Crystalline SmHfAl at its relaxed geometry (PBE, Alexandria via LeMat-Bulk).

POSCAR file:
```
SmHfAl
1.0
3.1885 0.0000 0.0000
0.0000 3.1885 0.0000
-1.5943 -1.5943 6.9002
Sm Hf Al
1 1 1
Cartesian
0.0000 0.0000 0.1282 Sm
0.0000 0.0000 4.3361 Hf
1.5943 1.5943 2.4359 Al
```

Computed properties:
**Formation energy**: -0.120 eV/atom
**Energy**: -18.77 eV for the cell shown